Record 1
## LaEr4In2 (PBE-GGA)

Data for an optimized crystal structure of LaEr4In2.

Output
Its calculated formation energy is -0.20 eV/atom. The value obtained for the distance to the lowest polymorph of the same formula is 0.0 meV per atom.

Unit cell a=9.2333 b=9.2333 c=5.1056 alpha=90.00 beta=90.00 gamma=90.00
Last column: nearest neighbours and their distance in Å.
Positions (direct):
La (0.0000, 0.0000, 0.0000)  6 In 3.72-3.83, 4 Er 3.92
La (0.5000, 0.5000, 0.5000)  6 In 3.72-3.83, 4 Er 3.92
Er (0.1012, 0.3541, 0.5000)  3 In 3.15-3.16, 6 Er 3.28-3.45
Er (0.1459, 0.6012, 0.0000)  3 In 3.15-3.16, 6 Er 3.28-3.45
Er (0.3541, 0.1012, 0.5000)  3 In 3.15-3.16, 6 Er 3.28-3.45
Er (0.3988, 0.8541, 0.0000)  3 In 3.15-3.16, 6 Er 3.28-3.45
Er (0.6012, 0.1459, 0.0000)  3 In 3.15-3.16, 6 Er 3.28-3.45
Er (0.6459, 0.8988, 0.5000)  3 In 3.15-3.16, 6 Er 3.28-3.45
Er (0.8541, 0.3988, 0.0000)  3 In 3.15-3.16, 6 Er 3.28-3.45
Er (0.8988, 0.6459, 0.5000)  3 In 3.15-3.16, 6 Er 3.28-3.45
In (0.2067, 0.7933, 0.5000)  6 Er 3.15-3.16
In (0.2933, 0.2933, 0.0000)  6 Er 3.15-3.16
In (0.7067, 0.7067, 0.0000)  6 Er 3.15-3.16
In (0.7933, 0.2067, 0.5000)  6 Er 3.15-3.16


Record 2
## Ba3Pm2SmTe6 (PBE-GGA)

Data for an optimized crystal structure of Ba3Pm2SmTe6.

Output
As for the uncorrected formation energy: -18.83 eV per formula unit.

Unit cell a=8.0345 b=8.0345 c=8.3230 alpha=99.27 beta=99.27 gamma=119.91
Last column: nearest neighbours and their distance in Å.
Positions (direct):
Ba (0.0000, 0.0000, 0.0000)  6 Te 3.46-3.47
Ba (0.3328, 0.6672, 0.0000)  6 Te 3.46
Ba (0.6672, 0.3328, 0.0000)  6 Te 3.46
Pm (0.1664, 0.8336, 0.5000)  6 Te 3.20-3.21
Pm (0.8336, 0.1664, 0.5000)  6 Te 3.20-3.21
Sm (0.5000, 0.5000, 0.5000)  6 Te 3.19-3.20
Te (0.0939, 0.4261, 0.2780)  1 Sm 3.19, 2 Pm 3.20-3.21, 3 Ba 3.46
Te (0.2421, 0.2421, 0.7226)  1 Sm 3.20, 2 Pm 3.20, 3 Ba 3.46-3.47
Te (0.4261, 0.0939, 0.2780)  1 Sm 3.19, 2 Pm 3.20-3.21, 3 Ba 3.46
Te (0.5739, 0.9061, 0.7220)  1 Sm 3.19, 2 Pm 3.20-3.21, 3 Ba 3.46
Te (0.7579, 0.7579, 0.2774)  1 Sm 3.20, 2 Pm 3.20, 3 Ba 3.46-3.47
Te (0.9061, 0.5739, 0.7220)  1 Sm 3.19, 2 Pm 3.20-3.21, 3 Ba 3.46


Record 3
## ReN2 (PBE-GGA)

Data for an optimized crystal structure of ReN2.

Output
As for the uncorrected formation energy: 1.15 eV per formula unit.

Unit cell a=2.9044 b=2.9044 c=3.9378 alpha=90.00 beta=90.00 gamma=120.00
Last column: nearest neighbours and their distance in Å.
Positions (direct):
Re (0.0000, 0.0000, 0.0000)  6 N 2.12
N (0.3333, 0.6667, 0.3291)  1 N 1.35
N (0.3333, 0.6667, 0.6709)  1 N 1.35


Record 4
## Zn5Cd3F12 (PBE-GGA)

Data for an optimized crystal structure of Zn5Cd3F12.

Output
As for the uncorrected formation energy: -37.57 eV per formula unit.

Unit cell a=11.7096 b=11.7096 c=11.7096 alpha=109.47 beta=109.47 gamma=109.47
Last column: nearest neighbours and their distance in Å.
Positions (direct):
Zn (0.0000, 0.0000, 0.0000)  6 F 2.09
Zn (0.0000, 0.0000, 0.5000)  6 F 2.09
Zn (0.0000, 0.5000, 0.0000)  6 F 2.09
Zn (0.0000, 0.5000, 0.5000)  6 F 2.09
Zn (0.1250, 0.7500, 0.8750)  4 F 1.97
Zn (0.1250, 0.8750, 0.2500)  4 F 1.97
Zn (0.2500, 0.1250, 0.8750)  4 F 1.97
Zn (0.2500, 0.6250, 0.3750)  4 F 1.97
Zn (0.3750, 0.2500, 0.6250)  4 F 1.97
Zn (0.3750, 0.6250, 0.7500)  4 F 1.97
Zn (0.5000, 0.0000, 0.0000)  6 F 2.09
Zn (0.5000, 0.0000, 0.5000)  6 F 2.09
Zn (0.5000, 0.5000, 0.0000)  6 F 2.09
Zn (0.5000, 0.5000, 0.5000)  6 F 2.09
Zn (0.6250, 0.3750, 0.2500)  4 F 1.97
Zn (0.6250, 0.7500, 0.3750)  4 F 1.97
Zn (0.7500, 0.3750, 0.6250)  4 F 1.97
Zn (0.7500, 0.8750, 0.1250)  4 F 1.97
Zn (0.8750, 0.1250, 0.7500)  4 F 1.97
Zn (0.8750, 0.2500, 0.1250)  4 F 1.97
Cd (0.1250, 0.2500, 0.3750)  8 F 2.70-2.82
Cd (0.1250, 0.3750, 0.7500)  8 F 2.70-2.82
Cd (0.2500, 0.3750, 0.1250)  8 F 2.70-2.82
Cd (0.2500, 0.8750, 0.6250)  8 F 2.70-2.82
Cd (0.3750, 0.1250, 0.2500)  8 F 2.70-2.82
Cd (0.3750, 0.7500, 0.1250)  8 F 2.70-2.82
Cd (0.6250, 0.2500, 0.8750)  8 F 2.70-2.82
Cd (0.6250, 0.8750, 0.7500)  8 F 2.70-2.82
Cd (0.7500, 0.1250, 0.3750)  8 F 2.70-2.82
Cd (0.7500, 0.6250, 0.8750)  8 F 2.70-2.82
Cd (0.8750, 0.6250, 0.2500)  8 F 2.70-2.82
Cd (0.8750, 0.7500, 0.6250)  8 F 2.70-2.82
F (0.0085, 0.1890, 0.1056)  2 Zn 1.97-2.09
F (0.0085, 0.3195, 0.9029)  2 Zn 1.97-2.09
F (0.0834, 0.6890, 0.6805)  2 Zn 1.97-2.09
F (0.0834, 0.8944, 0.4029)  2 Zn 1.97-2.09
F (0.0971, 0.6056, 0.4166)  2 Zn 1.97-2.09
F (0.0971, 0.9915, 0.6805)  2 Zn 1.97-2.09
F (0.1056, 0.0085, 0.1890)  2 Zn 1.97-2.09
F (0.1056, 0.5971, 0.9166)  2 Zn 1.97-2.09
F (0.1805, 0.1890, 0.5834)  2 Zn 1.97-2.09
F (0.1805, 0.4915, 0.5971)  2 Zn 1.97-2.09
F (0.1890, 0.1056, 0.0085)  2 Zn 1.97-2.09
F (0.1890, 0.5834, 0.1805)  2 Zn 1.97-2.09
F (0.3110, 0.3195, 0.9166)  2 Zn 1.97-2.09
F (0.3110, 0.4915, 0.3944)  2 Zn 1.97-2.09
F (0.3195, 0.9029, 0.0085)  2 Zn 1.97-2.09
F (0.3195, 0.9166, 0.3110)  2 Zn 1.97-2.09
F (0.3944, 0.3110, 0.4915)  2 Zn 1.97-2.09
F (0.3944, 0.5834, 0.9029)  2 Zn 1.97-2.09
F (0.4029, 0.0834, 0.8944)  2 Zn 1.97-2.09
F (0.4029, 0.8195, 0.5085)  2 Zn 1.97-2.09
F (0.4166, 0.0971, 0.6056)  2 Zn 1.97-2.09
F (0.4166, 0.8195, 0.8110)  2 Zn 1.97-2.09
F (0.4915, 0.3944, 0.3110)  2 Zn 1.97-2.09
F (0.4915, 0.5971, 0.1805)  2 Zn 1.97-2.09
F (0.5085, 0.4029, 0.8195)  2 Zn 1.97-2.09
F (0.5085, 0.6056, 0.6890)  2 Zn 1.97-2.09
F (0.5834, 0.1805, 0.1890)  2 Zn 1.97-2.09
F (0.5834, 0.9029, 0.3944)  2 Zn 1.97-2.09
F (0.5971, 0.1805, 0.4915)  2 Zn 1.97-2.09
F (0.5971, 0.9166, 0.1056)  2 Zn 1.97-2.09
F (0.6056, 0.4166, 0.0971)  2 Zn 1.97-2.09
F (0.6056, 0.6890, 0.5085)  2 Zn 1.97-2.09
F (0.6805, 0.0834, 0.6890)  2 Zn 1.97-2.09
F (0.6805, 0.0971, 0.9915)  2 Zn 1.97-2.09
F (0.6890, 0.5085, 0.6056)  2 Zn 1.97-2.09
F (0.6890, 0.6805, 0.0834)  2 Zn 1.97-2.09
F (0.8110, 0.4166, 0.8195)  2 Zn 1.97-2.09
F (0.8110, 0.8944, 0.9915)  2 Zn 1.97-2.09
F (0.8195, 0.5085, 0.4029)  2 Zn 1.97-2.09
F (0.8195, 0.8110, 0.4166)  2 Zn 1.97-2.09
F (0.8944, 0.4029, 0.0834)  2 Zn 1.97-2.09
F (0.8944, 0.9915, 0.8110)  2 Zn 1.97-2.09
F (0.9029, 0.0085, 0.3195)  2 Zn 1.97-2.09
F (0.9029, 0.3944, 0.5834)  2 Zn 1.97-2.09
F (0.9166, 0.1056, 0.5971)  2 Zn 1.97-2.09
F (0.9166, 0.3110, 0.3195)  2 Zn 1.97-2.09
F (0.9915, 0.6805, 0.0971)  2 Zn 1.97-2.09
F (0.9915, 0.8110, 0.8944)  2 Zn 1.97-2.09